! La5In4Ag (PBE, optimized geometry); values from VASP
! * uncorrected energy: -4.31 eV per atom
! * SG: P4/mmm, No. 123
! * calculated density: 6.92 g/cm3
&SYSTEM
  ibrav = 0, nat = 10, ntyp = 3
/
ATOMIC_SPECIES
La 138.91 La.upf
In 114.82 In.upf
Ag 107.87 Ag.upf
CELL_PARAMETERS angstrom
3.7836 0.0000 0.0000
0.0000 3.7836 0.0000
0.0000 0.0000 21.1417
ATOMIC_POSITIONS angstrom
La 0.0000 0.0000 0.0000
La 0.0000 0.0000 4.3087
La 0.0000 0.0000 8.5922
La 0.0000 0.0000 12.5495
La 0.0000 0.0000 16.8330
In 1.8918 1.8918 2.1604
In 1.8918 1.8918 6.5020
In 1.8918 1.8918 14.6397
In 1.8918 1.8918 18.9813
Ag 1.8918 1.8918 10.5708